Entry from the Alexandria database: a relaxed AcNdGaPb crystal (GGA-PBE).

Unit cell a=7.9054 b=7.9054 c=7.9054 alpha=90.00 beta=90.00 gamma=90.00
With the nearest neighbours (Å) after each atom.
Atoms (fractional coordinates):
1 Ac 0.0000 0.0000 0.0000  4 Ga 3.42, 4 Pb 3.42
2 Ac 0.0000 0.5000 0.5000  4 Ga 3.42, 4 Pb 3.42
3 Ac 0.5000 0.0000 0.5000  4 Ga 3.42, 4 Pb 3.42
4 Ac 0.5000 0.5000 0.0000  4 Ga 3.42, 4 Pb 3.42
5 Nd 0.0000 0.0000 0.5000  4 Pb 3.42, 4 Ga 3.42
6 Nd 0.0000 0.5000 0.0000  4 Pb 3.42, 4 Ga 3.42
7 Nd 0.5000 0.0000 0.0000  4 Pb 3.42, 4 Ga 3.42
8 Nd 0.5000 0.5000 0.5000  4 Pb 3.42, 4 Ga 3.42
9 Ga 0.2500 0.2500 0.7500  4 Ac 3.42, 4 Nd 3.42
10 Ga 0.2500 0.7500 0.2500  4 Ac 3.42, 4 Nd 3.42
11 Ga 0.7500 0.2500 0.2500  4 Ac 3.42, 4 Nd 3.42
12 Ga 0.7500 0.7500 0.7500  4 Ac 3.42, 4 Nd 3.42
13 Pb 0.2500 0.2500 0.2500  4 Ac 3.42, 4 Nd 3.42
14 Pb 0.2500 0.7500 0.7500  4 Ac 3.42, 4 Nd 3.42
15 Pb 0.7500 0.2500 0.7500  4 Ac 3.42, 4 Nd 3.42
16 Pb 0.7500 0.7500 0.2500  4 Ac 3.42, 4 Nd 3.42

Computed properties:
The value obtained for the spin magnetization is 0.00 μB/f.u. The calculation puts the density of states at the Fermi level at 9.071 states/eV per cell. The calculation puts the formation energy from the elements at -1.72 eV per formula unit.